The following is a DFT calculation (SCAN) of a PBEsol-optimized structure of Na2NiH12S2O14.

Cell and atoms, written as POSCAR:
```
Na2NiH12S2O14
1.0
-0.273 -3.640 -4.580
1.099 -5.146 6.760
-11.886 -0.787 1.334
O H S Ni Na
28 24 4 2 4
Cartesian
-10.338 -5.787 0.333 O
-0.722 -3.787 3.181 O
-3.141 -6.830 4.535 O
-10.211 -8.809 4.291 O
-4.267 -4.021 0.249 O
-2.130 -4.972 5.749 O
-0.690 -6.393 3.289 O
-1.566 -4.117 0.917 O
-10.769 -7.466 2.032 O
-8.542 -7.185 1.163 O
-6.793 -5.553 3.265 O
-0.848 -0.764 -0.778 O
-9.805 -6.122 5.238 O
-4.646 -3.625 3.090 O
-4.600 -1.434 0.174 O
-6.414 -5.948 0.423 O
-4.112 -6.250 2.038 O
-9.494 -5.457 2.597 O
-6.948 -3.323 1.475 O
-6.548 -4.577 -1.883 O
-2.517 -2.388 2.351 O
-7.918 -2.743 -1.022 O
-1.255 -3.451 -1.724 O
-0.290 -2.107 1.481 O
-8.930 -4.601 -2.236 O
-10.369 -3.180 0.224 O
-6.460 -8.139 3.339 O
-4.511 -4.996 5.397 O
-9.543 -2.939 -0.280 H
-1.517 -6.634 3.794 H
-0.908 -4.266 -2.184 H
-10.421 -8.389 3.412 H
-6.460 -5.518 -0.475 H
-1.267 -3.656 -0.747 H
-7.203 -3.136 0.528 H
-7.734 -5.429 2.959 H
-9.792 -5.917 4.261 H
-6.618 -2.464 1.860 H
-3.740 -3.259 2.851 H
-3.857 -6.437 2.985 H
-10.335 -3.905 -2.441 H
-10.151 -5.307 5.698 H
-4.399 -3.016 0.238 H
-6.661 -6.558 3.276 H
-7.319 -6.315 0.662 H
-3.325 -4.145 0.555 H
-0.724 -5.668 5.955 H
-4.442 -7.110 1.654 H
-10.363 -4.193 0.250 H
-0.696 -5.380 3.264 H
-0.639 -1.184 0.102 H
-4.599 -4.056 3.988 H
-9.787 -6.465 1.525 S
-1.273 -3.108 1.988 S
-7.740 -3.720 -2.146 S
-3.320 -5.853 5.660 S
-5.530 -4.787 1.757 Ni
-0.137 -1.820 -2.290 Ni
-1.247 -6.580 0.883 Na
-9.813 -2.994 2.630 Na
-6.824 -5.405 5.737 Na
-4.236 -4.168 -2.223 Na
```

**Symmetry**: P2_1/c, No. 14
**Magnetic moment**: 1.9 μB/f.u.
**Total DFT energy (no corrections)**: -6.95 eV per atom
**V**: 291.19 Å³/f.u.